[1]
The following is a GGA-PBE calculation of Ac6PdRu after structural relaxation, from Alexandria via LeMat-Bulk.

POSCAR file:
```
Ac6PdRu
1.0
6.498 0.006 3.383
2.352 6.046 3.402
-0.121 -0.106 8.159
Ac Pd Ru
6 1 1
direct
0.078 0.410 0.756 Ac
0.756 0.077 0.757 Ac
0.591 0.244 0.243 Ac
0.244 0.923 0.243 Ac
0.922 0.590 0.244 Ac
0.409 0.756 0.757 Ac
0.500 0.500 0.500 Pd
0.000 0.000 0.000 Ru
```

Its excess energy over the best structure of this formula in the dataset is 0.0 kJ per mole of atoms. The total energy is -5.14 eV per atom. The formation energy comes out at -255 meV per atom. The space group is R-3 (148). The value obtained for the volume is 324 Å³/cell. The calculation puts the size of the total moment at 0.000 μB/atom.


[2]
The following is a GGA-PBE calculation of Sc2BeCu6Ag after structural relaxation, from Alexandria via LeMat-Bulk.

POSCAR file:
```
Sc2BeCu6Ag
1.0
-5.003 2.203 -1.369
-0.969 -3.609 -2.272
-5.371 -3.096 3.052
Sc Be Cu Ag
2 1 6 1
direct
0.849 0.349 0.302 Sc
0.151 0.651 0.698 Sc
0.000 0.000 0.000 Be
0.284 0.283 0.432 Cu
0.828 0.120 0.762 Cu
0.410 0.119 0.763 Cu
0.590 0.881 0.237 Cu
0.172 0.880 0.238 Cu
0.716 0.717 0.568 Cu
0.500 0.500 0.000 Ag
```

The total energy is -4.45 eV per atom. The formation energy comes out at -68 meV per atom. The space group is C2/m (12). The value obtained for the volume is 146 Å³/cell. The calculation puts the size of the total moment at 0.000 μB/atom.


[3]
The following is a GGA-PBE calculation of La5ErSb6 after structural relaxation, from Alexandria via LeMat-Bulk.

POSCAR file:
```
La5ErSb6
1.0
-6.218 0.751 -4.878
1.764 -3.184 -7.053
-1.529 -7.665 -1.388
La Er Sb
5 1 6
direct
0.500 0.169 0.662 La
0.000 0.334 0.331 La
0.500 0.500 0.000 La
0.000 0.666 0.669 La
0.500 0.831 0.338 La
0.000 0.000 0.000 Er
0.756 0.081 0.325 Sb
0.244 0.594 0.325 Sb
0.247 0.242 0.000 Sb
0.753 0.758 0.000 Sb
0.756 0.406 0.675 Sb
0.244 0.919 0.675 Sb
```

The total energy is -5.73 eV per atom. The space group is C2/m (12). The value obtained for the volume is 408 Å³/cell. The calculation puts the size of the total moment at 0.000 μB/atom. As for the raw formation energy: -1237.3 meV/atom.


[4]
The following is a GGA-PBE calculation of SrPm4Pb4 after structural relaxation, from Alexandria via LeMat-Bulk.

POSCAR file:
```
SrPm4Pb4
1.0
-2.950 -4.882 2.859
8.794 -5.662 -0.594
2.991 3.666 9.346
Sr Pm Pb
2 8 8
direct
0.000 0.000 0.000 Sr
0.500 0.500 0.500 Sr
0.397 0.359 0.886 Pm
0.897 0.614 0.859 Pm
0.397 0.641 0.114 Pm
0.103 0.141 0.614 Pm
0.603 0.886 0.641 Pm
0.103 0.859 0.386 Pm
0.897 0.386 0.141 Pm
0.603 0.114 0.359 Pm
0.586 0.806 0.345 Pb
0.586 0.194 0.655 Pb
0.086 0.845 0.694 Pb
0.914 0.306 0.845 Pb
0.914 0.694 0.155 Pb
0.414 0.345 0.194 Pb
0.414 0.655 0.806 Pb
0.086 0.155 0.306 Pb
```

The total energy is -4.30 eV per atom. The formation energy comes out at -350 meV per atom. The space group is P4_2/n (86). The value obtained for the volume is 700 Å³/cell. The calculation puts the size of the total moment at 0.000 μB/atom.


[5]
The following is a GGA-PBE calculation of Ba8PPd2 after structural relaxation, from Alexandria via LeMat-Bulk.

POSCAR file:
```
Ba8PPd2
1.0
-3.335 -2.567 6.879
2.859 -5.871 -5.531
8.511 1.130 4.547
Ba P Pd
8 1 2
direct
0.899 0.281 0.134 Ba
0.382 0.281 0.134 Ba
0.101 0.719 0.866 Ba
0.342 0.683 0.459 Ba
0.618 0.719 0.866 Ba
0.927 0.853 0.299 Ba
0.073 0.147 0.701 Ba
0.658 0.317 0.541 Ba
0.000 0.000 0.000 P
0.862 0.723 0.603 Pd
0.138 0.277 0.397 Pd
```

The total energy is -3.13 eV per atom. The formation energy comes out at -293 meV per atom. The space group is C2/m (12). The value obtained for the volume is 588 Å³/cell. The calculation puts the size of the total moment at 0.047 μB/atom.


[6]
The following is a GGA-PBE calculation of NdSm7Er12 after structural relaxation, from Alexandria via LeMat-Bulk.

POSCAR file:
```
NdSm7Er12
1.0
-8.024 -2.162 -5.038
7.196 2.191 -6.153
2.583 -7.645 5.415
Nd Sm Er
1 7 12
direct
0.000 0.000 0.000 Nd
0.500 0.500 0.000 Sm
0.000 0.500 0.500 Sm
0.500 0.000 0.500 Sm
0.500 0.500 0.500 Sm
0.000 0.000 0.500 Sm
0.500 0.000 0.000 Sm
0.000 0.500 0.000 Sm
0.498 0.749 0.749 Er
0.000 0.749 0.251 Er
0.502 0.251 0.251 Er
0.000 0.251 0.749 Er
0.749 0.000 0.251 Er
0.749 0.498 0.749 Er
0.251 0.000 0.749 Er
0.251 0.502 0.251 Er
0.749 0.749 0.498 Er
0.251 0.251 0.502 Er
0.749 0.251 0.000 Er
0.251 0.749 0.000 Er
```

Its excess energy over the best structure of this formula in the dataset is 35.8 kJ per mole of atoms. The total energy is -3.96 eV per atom. The formation energy comes out at 666 meV per atom. The space group is Im-3m (229). The value obtained for the volume is 707 Å³/cell. The calculation puts the size of the total moment at 0.000 μB/atom.


[7]
The following is a GGA-PBE calculation of Cu3As after structural relaxation, from Alexandria via LeMat-Bulk.

POSCAR file:
```
Cu3As
1.0
3.585 -6.209 0.000
3.585 6.209 0.000
0.000 0.000 7.501
Cu As
18 6
direct
0.000 0.000 0.750 Cu
0.000 0.000 0.250 Cu
0.333 0.667 0.648 Cu
0.667 0.333 0.852 Cu
0.667 0.333 0.352 Cu
0.333 0.667 0.148 Cu
0.369 0.054 0.081 Cu
0.946 0.315 0.081 Cu
0.685 0.631 0.081 Cu
0.315 0.946 0.419 Cu
0.631 0.685 0.419 Cu
0.054 0.369 0.419 Cu
0.631 0.946 0.919 Cu
0.054 0.685 0.919 Cu
0.315 0.369 0.919 Cu
0.685 0.054 0.581 Cu
0.369 0.315 0.581 Cu
0.946 0.631 0.581 Cu
0.662 0.662 0.750 As
0.000 0.338 0.750 As
0.338 0.000 0.750 As
0.338 0.338 0.250 As
0.000 0.662 0.250 As
0.662 0.000 0.250 As
```

The total energy is -4.16 eV per atom. The formation energy comes out at 72 meV per atom. The space group is P-3c1 (165). The value obtained for the volume is 334 Å³/cell. The calculation puts the size of the total moment at 0.000 μB/atom.


[8]
The following is a GGA-PBE calculation of ScPtO2F after structural relaxation, from Alexandria via LeMat-Bulk.

POSCAR file:
```
ScPtO2F
1.0
4.144 0.000 0.000
0.000 4.144 0.000
0.000 0.000 3.885
Sc O Pt F
1 2 1 1
direct
0.000 0.000 0.000 Sc
0.000 0.500 0.000 O
0.500 0.000 0.000 O
0.500 0.500 0.500 Pt
0.000 0.000 0.500 F
```

The total energy is -6.24 eV per atom. The space group is P4/mmm (123). The value obtained for the volume is 67 Å³/cell. The calculation puts the size of the total moment at 0.092 μB/atom. As for the raw formation energy: -1409.4 meV/atom.


[9]
The following is a GGA-PBE calculation of RbPmTeS after structural relaxation, from Alexandria via LeMat-Bulk.

POSCAR file:
```
RbPmTeS
1.0
4.359 0.000 0.000
-2.179 3.775 0.000
-2.178 -1.260 8.380
Rb Pm Te S
1 1 1 1
direct
0.976 0.386 0.377 Rb
0.287 0.541 0.844 Pm
0.106 0.951 0.072 Te
0.509 0.152 0.677 S
```

The total energy is -4.81 eV per atom. The space group is R3m (160). The value obtained for the volume is 138 Å³/cell. The calculation puts the size of the total moment at 0.000 μB/atom. As for the raw formation energy: -1561.3 meV/atom.


[10]
The following is a GGA-PBE calculation of Li2FeTcCl after structural relaxation, from Alexandria via LeMat-Bulk.

POSCAR file:
```
Li2FeTcCl
1.0
5.234 0.000 0.000
0.000 4.277 0.000
0.000 0.000 5.234
Cl Li Tc Fe
1 2 1 1
direct
0.500 0.500 0.500 Cl
0.000 0.000 0.500 Li
0.500 0.000 0.000 Li
0.000 0.000 0.000 Tc
0.000 0.500 0.000 Fe
```

The total energy is -4.07 eV per atom. The space group is P4/mmm (123). The value obtained for the volume is 117 Å³/cell. The calculation puts the size of the total moment at 0.618 μB/atom. As for the raw formation energy: 834.9 meV/atom.


[11]
The following is a GGA-PBE calculation of H5RhO4 after structural relaxation, from Alexandria via LeMat-Bulk.

POSCAR file:
```
H5RhO4
1.0
4.865 0.000 0.000
0.000 7.596 0.000
0.000 0.000 5.143
H Rh O
10 2 8
direct
0.295 0.850 0.852 H
0.295 0.150 0.852 H
0.991 0.500 0.000 H
0.295 0.850 0.148 H
0.295 0.150 0.148 H
0.705 0.650 0.352 H
0.705 0.350 0.352 H
0.009 0.000 0.500 H
0.705 0.350 0.648 H
0.705 0.650 0.648 H
0.772 0.000 0.000 Rh
0.228 0.500 0.500 Rh
0.045 0.000 0.731 O
0.414 0.808 0.000 O
0.414 0.192 0.000 O
0.045 0.000 0.269 O
0.955 0.500 0.231 O
0.586 0.692 0.500 O
0.586 0.308 0.500 O
0.955 0.500 0.769 O
```

The total energy is -4.98 eV per atom. The space group is Pmmn (59). The value obtained for the volume is 190 Å³/cell. The calculation puts the size of the total moment at 0.240 μB/atom.


[12]
The following is a GGA-PBE calculation of Ta2RhCl after structural relaxation, from Alexandria via LeMat-Bulk.

POSCAR file:
```
Ta2RhCl
1.0
-2.706 6.582 5.512
-3.623 4.266 7.050
-0.857 5.190 7.305
Cl Rh Ta
1 1 2
direct
0.250 0.250 0.250 Cl
0.750 0.750 0.750 Rh
0.999 0.999 0.999 Ta
0.501 0.501 0.501 Ta
```

Its excess energy over the best structure of this formula in the dataset is 16.8 kJ per mole of atoms. The total energy is -8.28 eV per atom. The space group is R-3m (166). The value obtained for the volume is 66 Å³/cell. The calculation puts the size of the total moment at 0.000 μB/atom. As for the raw formation energy: -49.4 meV/atom.